w) Below is a geometry-optimized SmHoIr structure, with properties calculated at the PBE level.

Values from the calculation:
The total magnetization comes out at 0.0 μB/cell. The value obtained for the theoretical density is 10.2 g/cm³.

Cell and atoms, written as extended XYZ:
```
6
Lattice="4.527 0.000 0.000 0.000 5.263 0.000 0.008 2.276 6.906" Properties=species:S:1:pos:R:3 pbc="T T T"
Sm 1.132 1.358 0.459
Sm 3.403 6.180 6.447
Ho 1.136 2.510 3.741
Ho 3.398 5.028 3.165
Ir 1.137 5.220 4.954
Ir 3.397 2.318 1.952
```

***

x) Below is a geometry-optimized SmHoIr structure, with properties calculated at the PBE level.

Values from the calculation:
The total magnetization comes out at 0.0 μB/cell. The value obtained for the theoretical density is 10.5 g/cm³.

Cell and atoms, written as extended XYZ:
```
3
Lattice="0.000 3.425 3.425 3.425 0.000 3.425 3.425 3.425 0.000" Properties=species:S:1:pos:R:3 pbc="T T T"
Sm 0.000 0.000 0.000
Ho 3.425 3.425 3.425
Ir 1.713 1.713 1.713
```

***

y) Below is a geometry-optimized SmHoIr structure, with properties calculated at the PBE level.

Values from the calculation:
The total magnetization comes out at 0.0 μB/cell. The value obtained for the theoretical density is 11.1 g/cm³.

Cell and atoms, written as extended XYZ:
```
6
Lattice="-2.271 2.271 7.335 2.271 -2.271 7.335 2.271 2.271 -7.335" Properties=species:S:1:pos:R:3 pbc="T T T"
Sm 0.000 0.000 2.726
Sm 0.000 0.000 11.944
Ho 2.271 0.000 0.000
Ho 0.000 2.271 0.000
Ir 0.000 0.000 5.494
Ir 0.000 0.000 9.176
```

***

z) Below is a geometry-optimized SmHoIr structure, with properties calculated at the PBE level.

Values from the calculation:
The total magnetization comes out at 0.0 μB/cell. The value obtained for the theoretical density is 9.2 g/cm³.

Cell and atoms, written as extended XYZ:
```
3
Lattice="4.137 0.000 0.000 -2.069 3.583 0.000 0.000 0.000 6.205" Properties=species:S:1:pos:R:3 pbc="T T T"
Sm 0.000 0.000 0.000
Ho 0.000 2.389 2.846
Ir 2.069 1.194 1.479
```

***

It is w) that is the most stable of them.

***

w) Below is a geometry-optimized SmHoIr structure, with properties calculated at the PBE level.

Values from the calculation:
The total magnetization comes out at 0.0 μB/cell. The value obtained for the theoretical density is 11.4 g/cm³.

Cell and atoms, written as extended XYZ:
```
9
Lattice="7.474 0.000 0.000 -3.737 6.473 0.000 0.000 0.000 4.599" Properties=species:S:1:pos:R:3 pbc="T T T"
Sm -1.532 2.654 0.000
Sm 3.064 0.000 0.000
Sm 2.205 3.819 0.000
Ho -2.766 4.791 2.300
Ho 0.971 1.682 2.300
Ho 5.532 0.000 2.300
Ir 0.000 0.000 0.000
Ir 0.000 4.315 2.300
Ir 3.737 2.158 2.300
```

***

x) Below is a geometry-optimized SmHoIr structure, with properties calculated at the PBE level.

Values from the calculation:
The total magnetization comes out at 0.0 μB/cell. The value obtained for the theoretical density is 10.7 g/cm³.

Cell and atoms, written as extended XYZ:
```
3
Lattice="-1.751 1.751 6.430 1.751 -1.751 6.430 1.751 1.751 -6.430" Properties=species:S:1:pos:R:3 pbc="T T T"
Sm 0.000 0.000 0.000
Ho 0.000 0.000 9.599
Ir 0.000 0.000 4.727
```

***

It is w) that is the most stable of them.

***

w) Below is a geometry-optimized SmHo2Ir2 structure, with properties calculated at the PBE level.

Values from the calculation:
The total magnetization comes out at 0.0 μB/cell. The value obtained for the theoretical density is 11.4 g/cm³.

Cell and atoms, written as extended XYZ:
```
10
Lattice="5.484 0.000 0.000 0.000 4.408 0.000 -1.444 0.000 10.430" Properties=species:S:1:pos:R:3 pbc="T T T"
Sm 0.096 1.102 2.999
Sm 3.944 3.306 7.431
Ho -0.028 1.102 10.125
Ho 1.272 1.102 6.423
Ho 2.768 3.306 4.007
Ho 4.068 3.306 0.305
Ir 0.164 3.306 4.963
Ir 1.293 3.306 1.441
Ir 2.747 1.102 8.990
Ir 3.876 1.102 5.467
```

***

x) Below is a geometry-optimized SmHo2Ir2 structure, with properties calculated at the PBE level.

Values from the calculation:
The total magnetization comes out at 0.0 μB/cell. The value obtained for the theoretical density is 11.9 g/cm³.

Cell and atoms, written as extended XYZ:
```
5
Lattice="4.807 0.000 0.000 -2.404 4.163 0.000 0.000 0.000 6.016" Properties=species:S:1:pos:R:3 pbc="T T T"
Sm 0.000 0.000 0.000
Ho 0.000 2.776 3.981
Ho 2.404 1.388 2.034
Ir 0.000 2.776 1.066
Ir 2.404 1.388 4.950
```

***

It is x) that is the most stable of them.

***

w) Below is a geometry-optimized SmHo2Ir structure, with properties calculated at the PBE level.

Values from the calculation:
The total magnetization comes out at 0.0 μB/cell. The value obtained for the theoretical density is 10.5 g/cm³.

Cell and atoms, written as extended XYZ:
```
4
Lattice="3.472 0.000 0.000 0.000 3.472 0.000 0.000 0.000 8.849" Properties=species:S:1:pos:R:3 pbc="T T T"
Sm 0.000 0.000 0.000
Ho 1.736 1.736 2.799
Ho 1.736 1.736 6.049
Ir 0.000 0.000 4.424
```

***

x) Below is a geometry-optimized SmHo2Ir structure, with properties calculated at the PBE level.

Values from the calculation:
The total magnetization comes out at 0.0 μB/cell. The value obtained for the theoretical density is 10.3 g/cm³.

Cell and atoms, written as extended XYZ:
```
8
Lattice="1.932 -6.101 0.000 1.932 6.101 0.000 0.000 0.000 9.172" Properties=species:S:1:pos:R:3 pbc="T T T"
Sm 1.932 5.217 6.879
Sm 1.932 -5.217 2.293
Ho 1.932 1.740 5.199
Ho 1.932 1.740 8.559
Ho 1.932 -1.740 0.613
Ho 1.932 -1.740 3.973
Ir 1.932 3.079 2.293
Ir 1.932 -3.079 6.879
```

***

It is x) that is the most stable of them.

***

w) Below is a geometry-optimized SmHo2Ir structure, with properties calculated at the PBE level.

Values from the calculation:
The total magnetization comes out at 0.0 μB/cell. The value obtained for the theoretical density is 8.6 g/cm³.

Cell and atoms, written as extended XYZ:
```
4
Lattice="1.884 1.088 10.502 -1.884 1.088 10.502 0.000 -2.176 10.502" Properties=species:S:1:pos:R:3 pbc="T T T"
Sm 0.000 0.000 0.000
Ho 0.000 0.000 3.615
Ho 0.000 0.000 27.892
Ir 0.000 0.000 15.753
```

***

x) Below is a geometry-optimized SmHo2Ir structure, with properties calculated at the PBE level.

Values from the calculation:
The total magnetization comes out at 0.0 μB/cell. The value obtained for the theoretical density is 10.3 g/cm³.

Cell and atoms, written as extended XYZ:
```
16
Lattice="7.261 0.000 0.000 0.000 9.312 0.000 0.000 0.000 6.423" Properties=species:S:1:pos:R:3 pbc="T T T"
Sm 0.244 2.328 0.854
Sm 3.386 6.984 4.065
Sm 3.875 2.328 2.358
Sm 7.017 6.984 5.569
Ho 1.274 0.596 4.307
Ho 1.274 4.060 4.307
Ho 2.357 5.252 1.095
Ho 2.357 8.716 1.095
Ho 4.904 0.596 5.328
Ho 4.904 4.060 5.328
Ho 5.987 5.252 2.116
Ho 5.987 8.716 2.116
Ir 0.855 6.984 2.833
Ir 2.776 2.328 6.044
Ir 4.485 6.984 0.379
Ir 6.406 2.328 3.591
```

***

It is x) that is the most stable of them.

***

w) Below is a geometry-optimized SmHo3Ir structure, with properties calculated at the PBE level.

Values from the calculation:
The total magnetization comes out at 0.0 μB/cell. The value obtained for the theoretical density is 8.7 g/cm³.

Cell and atoms, written as extended XYZ:
```
5
Lattice="5.419 0.000 0.000 0.000 5.419 0.000 0.000 0.000 5.419" Properties=species:S:1:pos:R:3 pbc="T T T"
Sm 0.000 0.000 0.000
Ho 0.000 2.709 2.709
Ho 2.709 0.000 2.709
Ho 2.709 2.709 0.000
Ir 2.709 2.709 2.709
```

***

x) Below is a geometry-optimized SmHo3Ir structure, with properties calculated at the PBE level.

Values from the calculation:
The total magnetization comes out at 0.0 μB/cell. The value obtained for the theoretical density is 9.0 g/cm³.

Cell and atoms, written as extended XYZ:
```
10
Lattice="7.604 0.000 0.000 0.000 6.539 0.000 0.000 0.000 6.192" Properties=species:S:1:pos:R:3 pbc="T T T"
Sm 0.000 0.970 0.000
Sm 3.802 5.569 3.096
Ho 0.000 5.535 3.041
Ho 1.892 2.071 3.076
Ho 1.910 4.468 6.172
Ho 3.802 1.004 6.137
Ho 5.694 4.468 6.172
Ho 5.712 2.071 3.076
Ir 0.000 3.302 4.613
Ir 3.802 3.236 1.517
```

***

It is x) that is the most stable of them.

***

w) Below is a geometry-optimized Ho2SnIr structure, with properties calculated at the PBE level.

Values from the calculation:
The total magnetization comes out at 0.0 μB/cell. The value obtained for the theoretical density is 10.1 g/cm³.

Cell and atoms, written as extended XYZ:
```
4
Lattice="1.911 1.104 8.323 -1.911 1.104 8.323 0.000 -2.207 8.323" Properties=species:S:1:pos:R:3 pbc="T T T"
Ho 0.000 0.000 5.814
Ho 0.000 0.000 19.154
Sn 0.000 0.000 0.000
Ir 0.000 0.000 12.484
```

***

x) Below is a geometry-optimized Ho2SnIr structure, with properties calculated at the PBE level.

Values from the calculation:
The total magnetization comes out at 0.0 μB/cell. The value obtained for the theoretical density is 11.6 g/cm³.

Cell and atoms, written as extended XYZ:
```
4
Lattice="0.000 3.581 3.581 3.581 0.000 3.581 3.581 3.581 0.000" Properties=species:S:1:pos:R:3 pbc="T T T"
Ho 1.791 1.791 1.791
Ho 5.372 5.372 5.372
Sn 0.000 0.000 0.000
Ir 3.581 3.581 3.581
```

***

y) Below is a geometry-optimized Ho2SnIr structure, with properties calculated at the PBE level.

Values from the calculation:
The total magnetization comes out at 0.0 μB/cell. The value obtained for the theoretical density is 10.7 g/cm³.

Cell and atoms, written as extended XYZ:
```
8
Lattice="6.213 0.000 0.000 0.000 3.946 0.000 -2.770 0.000 8.086" Properties=species:S:1:pos:R:3 pbc="T T T"
Ho -0.054 0.986 3.161
Ho 1.419 2.959 0.369
Ho 2.024 0.986 7.716
Ho 3.496 2.959 4.925
Sn 0.414 2.959 5.684
Sn 3.029 0.986 2.402
Ir -1.474 0.986 6.440
Ir 4.917 2.959 1.645
```

***

z) Below is a geometry-optimized Ho2SnIr structure, with properties calculated at the PBE level.

Values from the calculation:
The total magnetization comes out at 0.0 μB/cell. The value obtained for the theoretical density is 11.4 g/cm³.

Cell and atoms, written as extended XYZ:
```
4
Lattice="3.445 0.000 0.000 0.000 3.445 0.000 0.000 0.000 7.890" Properties=species:S:1:pos:R:3 pbc="T T T"
Ho 0.000 0.000 1.661
Ho 0.000 0.000 6.229
Sn 1.723 1.723 3.945
Ir 1.723 1.723 0.000
```

***

It is y) that is the most stable of them.

***

w) Below is a geometry-optimized SrHoIr structure, with properties calculated at the PBE level.

Values from the calculation:
The total magnetization comes out at 0.0 μB/cell. The value obtained for the theoretical density is 8.7 g/cm³.

Cell and atoms, written as extended XYZ:
```
3
Lattice="-1.765 1.765 6.814 1.765 -1.765 6.814 1.765 1.765 -6.814" Properties=species:S:1:pos:R:3 pbc="T T T"
Sr 0.000 0.000 0.000
Ho 0.000 0.000 3.421
Ir 0.000 0.000 8.860
```

***

x) Below is a geometry-optimized SrHoIr structure, with properties calculated at the PBE level.

Values from the calculation:
The total magnetization comes out at 0.0 μB/cell. The value obtained for the theoretical density is 7.2 g/cm³.

Cell and atoms, written as extended XYZ:
```
12
Lattice="11.243 -1.991 0.000 11.243 1.991 0.000 -1.578 0.000 9.115" Properties=species:S:1:pos:R:3 pbc="T T T"
Sr 0.278 0.000 1.930
Sr 8.197 0.000 3.612
Sr 12.711 0.000 5.503
Sr 20.630 0.000 7.185
Ho 2.053 0.000 8.806
Ho 4.039 0.000 3.399
Ho 16.869 0.000 5.716
Ho 18.855 0.000 0.309
Ir 3.685 0.000 6.212
Ir 5.892 0.000 1.128
Ir 15.016 0.000 7.987
Ir 17.223 0.000 2.903
```

***

It is w) that is the most stable of them.

***

w) Below is a geometry-optimized Tb3HoIr structure, with properties calculated at the PBE level.

Values from the calculation:
The total magnetization comes out at 0.0 μB/cell. The value obtained for the theoretical density is 8.6 g/cm³.

Cell and atoms, written as extended XYZ:
```
5
Lattice="5.448 0.000 0.000 0.000 5.448 0.000 0.000 0.000 5.448" Properties=species:S:1:pos:R:3 pbc="T T T"
Tb 0.000 0.000 2.724
Tb 0.000 2.724 0.000
Tb 2.724 0.000 0.000
Ho 2.724 2.724 2.724
Ir 0.000 0.000 0.000
```

***

x) Below is a geometry-optimized Tb3HoIr structure, with properties calculated at the PBE level.

Values from the calculation:
The total magnetization comes out at 0.0 μB/cell. The value obtained for the theoretical density is 9.0 g/cm³.

Cell and atoms, written as extended XYZ:
```
10
Lattice="7.649 0.000 0.000 0.000 6.533 0.000 0.000 0.000 6.190" Properties=species:S:1:pos:R:3 pbc="T T T"
Tb 0.000 0.999 0.000
Tb 1.910 2.041 3.115
Tb 1.915 4.492 0.020
Tb 3.824 5.534 3.095
Tb 5.739 2.041 3.115
Tb 5.734 4.492 0.020
Ho 0.000 5.526 3.140
Ho 3.824 1.007 0.045
Ir 0.000 3.278 1.572
Ir 3.824 3.255 4.667
```

***

It is x) that is the most stable of them.

***

w) Below is a geometry-optimized Tb2HoIr3 structure, with properties calculated at the PBE level.

Values from the calculation:
The total magnetization comes out at 0.0 μB/cell. The value obtained for the theoretical density is 12.8 g/cm³.

Cell and atoms, written as extended XYZ:
```
6
Lattice="-2.001 2.841 6.042 2.001 -2.841 6.042 2.001 2.841 -6.042" Properties=species:S:1:pos:R:3 pbc="T T T"
Tb 0.000 0.000 2.025
Tb 0.000 0.000 10.059
Ho 0.000 0.000 6.042
Ir 2.001 0.000 0.000
Ir 2.001 0.000 4.060
Ir 0.000 2.841 1.982
```

***

x) Below is a geometry-optimized Tb2HoIr3 structure, with properties calculated at the PBE level.

Values from the calculation:
The total magnetization comes out at 0.0 μB/cell. The value obtained for the theoretical density is 14.5 g/cm³.

Cell and atoms, written as extended XYZ:
```
12
Lattice="4.858 0.000 0.000 -2.429 4.207 0.000 0.000 0.000 11.887" Properties=species:S:1:pos:R:3 pbc="T T T"
Tb 0.000 0.000 0.000
Tb 0.000 0.000 5.943
Tb 0.000 2.805 1.991
Tb 2.429 1.402 9.896
Ho 0.000 2.805 7.919
Ho 2.429 1.402 3.968
Ir 0.000 0.000 2.985
Ir 0.000 0.000 8.902
Ir 0.000 2.805 4.954
Ir 0.000 2.805 10.883
Ir 2.429 1.402 1.004
Ir 2.429 1.402 6.933
```

***

It is x) that is the most stable of them.

***

w) Below is a geometry-optimized TbHo2Ir2 structure, with properties calculated at the PBE level.

Values from the calculation:
The total magnetization comes out at 0.0 μB/cell. The value obtained for the theoretical density is 12.3 g/cm³.

Cell and atoms, written as extended XYZ:
```
5
Lattice="4.766 0.000 0.000 -2.383 4.127 0.000 0.000 0.000 6.005" Properties=species:S:1:pos:R:3 pbc="T T T"
Tb 0.000 0.000 0.000
Ho 0.000 2.752 3.982
Ho 2.383 1.376 2.023
Ir 0.000 2.752 1.038
Ir 2.383 1.376 4.967
```

***

x) Below is a geometry-optimized TbHo2Ir2 structure, with properties calculated at the PBE level.

Values from the calculation:
The total magnetization comes out at 0.0 μB/cell. The value obtained for the theoretical density is 11.7 g/cm³.

Cell and atoms, written as extended XYZ:
```
10
Lattice="5.503 0.000 0.000 0.000 4.375 0.000 -1.179 0.000 10.311" Properties=species:S:1:pos:R:3 pbc="T T T"
Tb 0.209 1.094 3.005
Tb 4.115 3.281 7.306
Ho 0.232 1.094 9.994
Ho 1.427 1.094 6.374
Ho 2.897 3.281 3.937
Ho 4.092 3.281 0.317
Ir 0.306 3.281 4.908
Ir 1.298 3.281 1.453
Ir 3.026 1.094 8.859
Ir 4.017 1.094 5.403
```

***

It is w) that is the most stable of them.